Record 1
Entry from Alexandria via LeMat-Bulk: a relaxed structure of Si2WBr (PBE-GGA).

The structure in extended XYZ format:
```
4
Lattice="-1.885 -0.990 -3.945 2.096 -2.743 -2.860 -1.610 -4.117 -0.745" Properties=species:S:1:pos:R:3 pbc="T T T"
W -1.050 -5.888 -5.663
Br -0.700 -3.925 -3.775
Si 0.000 0.000 0.000
Si -0.350 -1.963 -1.888
```

Values from the calculation:
The value obtained for the relative energy among the computed polymorphs is 0.646 eV/atom. As for the space group: F-43m (216). For the total energy, the calculation gives -5.42 eV/atom. The value obtained for the density of states at the Fermi level is 2.37 states/eV/f.u.

Record 2
Entry from Alexandria via LeMat-Bulk: a relaxed structure of SiW2Br (PBE-GGA).

The structure in extended XYZ format:
```
4
Lattice="-1.345 0.560 4.190 -2.237 3.657 1.141 -4.315 -0.260 0.998" Properties=species:S:1:pos:R:3 pbc="T T T"
W -1.974 0.989 1.582
W -5.923 2.968 4.747
Br -3.949 1.979 3.165
Si 0.000 0.000 0.000
```

Values from the calculation:
The value obtained for the relative energy among the computed polymorphs is 0.606 eV/atom. As for the space group: Fm-3m (225). For the total energy, the calculation gives -7.39 eV/atom. The value obtained for the density of states at the Fermi level is 3.89 states/eV/f.u.

Record 3
Entry from Alexandria via LeMat-Bulk: a relaxed structure of Si2WBr (PBE-GGA).

The structure in extended XYZ format:
```
4
Lattice="5.112 0.006 -0.008 0.493 5.088 -0.008 0.666 0.605 2.714" Properties=species:S:1:pos:R:3 pbc="T T T"
W 2.889 0.306 1.353
Si 0.000 0.000 0.000
Si 2.802 2.547 -0.008
Br 0.579 2.847 1.353
```

Values from the calculation:
The value obtained for the relative energy among the computed polymorphs is 0.447 eV/atom. As for the space group: C2/m (12). For the total energy, the calculation gives -5.62 eV/atom. The value obtained for the density of states at the Fermi level is 3.19 states/eV/f.u.

Record 4
Entry from Alexandria via LeMat-Bulk: a relaxed structure of SiW2Br (PBE-GGA).

The structure in extended XYZ format:
```
4
Lattice="-3.091 -2.067 2.491 -2.108 -1.328 -3.718 1.683 -2.563 -0.039" Properties=species:S:1:pos:R:3 pbc="T T T"
W 0.000 0.000 0.000
W -2.600 -1.697 -0.613
Br -0.704 -2.315 1.226
Si -0.213 -1.946 -1.878
```

Values from the calculation:
The value obtained for the relative energy among the computed polymorphs is 0.623 eV/atom. As for the space group: P4/mmm (123). For the total energy, the calculation gives -7.37 eV/atom. The value obtained for the density of states at the Fermi level is 4.57 states/eV/f.u.

Record 5
Entry from Alexandria via LeMat-Bulk: a relaxed structure of SiW2Br (PBE-GGA).

The structure in extended XYZ format:
```
4
Lattice="4.419 -0.208 0.825 3.379 2.856 0.825 2.197 0.746 7.111" Properties=species:S:1:pos:R:3 pbc="T T T"
W 0.494 0.168 0.838
W 4.504 1.529 3.542
Br 7.496 2.545 6.570
Si 2.499 0.848 2.190
```

Values from the calculation:
The value obtained for the relative energy among the computed polymorphs is 0.315 eV/atom. As for the space group: C2/m (12). For the total energy, the calculation gives -7.68 eV/atom. The value obtained for the density of states at the Fermi level is 2.42 states/eV/f.u.

Record 6
Entry from Alexandria via LeMat-Bulk: a relaxed structure of YSiBr2 (PBE-GGA).

The structure in extended XYZ format:
```
4
Lattice="3.577 0.000 0.000 0.000 4.570 -0.007 0.000 4.342 8.085" Properties=species:S:1:pos:R:3 pbc="T T T"
Br 0.000 8.055 7.453
Br 1.789 1.562 2.748
Si 0.000 5.198 4.628
Y 1.789 2.895 5.372
```

Values from the calculation:
The value obtained for the relative energy among the computed polymorphs is 0.047 eV/atom. As for the space group: Pm (6). For the total energy, the calculation gives -4.59 eV/atom. The value obtained for the density of states at the Fermi level is 1.51 states/eV/f.u.

Copy entry 5 word for word.
Entry from Alexandria via LeMat-Bulk: a relaxed structure of SiW2Br (PBE-GGA).

The structure in extended XYZ format:
```
4
Lattice="4.419 -0.208 0.825 3.379 2.856 0.825 2.197 0.746 7.111" Properties=species:S:1:pos:R:3 pbc="T T T"
W 0.494 0.168 0.838
W 4.504 1.529 3.542
Br 7.496 2.545 6.570
Si 2.499 0.848 2.190
```

Values from the calculation:
The value obtained for the relative energy among the computed polymorphs is 0.315 eV/atom. As for the space group: C2/m (12). For the total energy, the calculation gives -7.68 eV/atom. The value obtained for the density of states at the Fermi level is 2.42 states/eV/f.u.

- Look up the relative energy among the computed polymorphs of the second one.
  0.606 eV/atom